[1]
This record from Alexandria describes a relaxed K3Se5I12 crystal. The functional is PBE.

Values from the calculation:
For the total energy, the calculation gives -2.210 eV/atom. The density of states at the Fermi level comes out at 5.5 states/eV/f.u. As for the space group: Ia-3d. The value obtained for the uncorrected formation energy is -23.6 kJ per mole of atoms. For the calculated density, the calculation gives 3.3 g/cm³.

Cell: 17.418 17.418 17.418 Å, 109.47 109.47 109.47°
Element x y z (fractional)
K: 0.125 0.250 0.375
K: 0.125 0.375 0.750
K: 0.250 0.375 0.125
K: 0.250 0.875 0.625
K: 0.375 0.125 0.250
K: 0.375 0.750 0.125
K: 0.625 0.250 0.875
K: 0.625 0.875 0.750
K: 0.750 0.125 0.375
K: 0.750 0.625 0.875
K: 0.875 0.625 0.250
K: 0.875 0.750 0.625
Se: 0.000 0.000 0.000
Se: 0.000 0.000 0.500
Se: 0.000 0.500 0.000
Se: 0.000 0.500 0.500
Se: 0.125 0.750 0.875
Se: 0.125 0.875 0.250
Se: 0.250 0.125 0.875
Se: 0.250 0.625 0.375
Se: 0.375 0.250 0.625
Se: 0.375 0.625 0.750
Se: 0.500 0.000 0.000
Se: 0.500 0.000 0.500
Se: 0.500 0.500 0.000
Se: 0.500 0.500 0.500
Se: 0.625 0.375 0.250
Se: 0.625 0.750 0.375
Se: 0.750 0.375 0.625
Se: 0.750 0.875 0.125
Se: 0.875 0.125 0.750
Se: 0.875 0.250 0.125
I: 0.012 0.681 0.113
I: 0.012 0.831 0.899
I: 0.068 0.669 0.681
I: 0.068 0.899 0.387
I: 0.101 0.613 0.932
I: 0.101 0.988 0.169
I: 0.113 0.012 0.681
I: 0.113 0.601 0.432
I: 0.169 0.101 0.988
I: 0.169 0.568 0.181
I: 0.181 0.169 0.568
I: 0.181 0.512 0.613
I: 0.319 0.887 0.988
I: 0.319 0.932 0.331
I: 0.331 0.319 0.932
I: 0.331 0.512 0.399
I: 0.387 0.068 0.899
I: 0.387 0.819 0.488
I: 0.399 0.331 0.512
I: 0.399 0.568 0.887
I: 0.432 0.113 0.601
I: 0.432 0.819 0.831
I: 0.488 0.387 0.819
I: 0.488 0.601 0.669
I: 0.512 0.399 0.331
I: 0.512 0.613 0.181
I: 0.568 0.181 0.169
I: 0.568 0.887 0.399
I: 0.601 0.432 0.113
I: 0.601 0.669 0.488
I: 0.613 0.181 0.512
I: 0.613 0.932 0.101
I: 0.669 0.488 0.601
I: 0.669 0.681 0.068
I: 0.681 0.068 0.669
I: 0.681 0.113 0.012
I: 0.819 0.488 0.387
I: 0.819 0.831 0.432
I: 0.831 0.432 0.819
I: 0.831 0.899 0.012
I: 0.887 0.399 0.568
I: 0.887 0.988 0.319
I: 0.899 0.012 0.831
I: 0.899 0.387 0.068
I: 0.932 0.101 0.613
I: 0.932 0.331 0.319
I: 0.988 0.169 0.101
I: 0.988 0.319 0.887

***

[2]
This record from Alexandria describes a relaxed KSe2I crystal. The functional is PBE.

Values from the calculation:
For the total energy, the calculation gives -2.528 eV/atom. The density of states at the Fermi level comes out at 0.0 states/eV/f.u. As for the space group: I-42d. The value obtained for the uncorrected formation energy is -11.9 kJ per mole of atoms. For the calculated density, the calculation gives 3.1 g/cm³. Its energy above the most stable polymorph in this dataset is 0.053 eV/atom.

Cell: 6.615 6.615 16.095 Å, 90.00 90.00 90.00°
Element x y z (fractional)
K: 0.000 0.000 0.000
K: 0.000 0.500 0.250
K: 0.500 0.000 0.750
K: 0.500 0.500 0.500
Se: 0.153 0.250 0.625
Se: 0.250 0.653 0.875
Se: 0.250 0.847 0.375
Se: 0.347 0.250 0.125
Se: 0.653 0.750 0.125
Se: 0.750 0.153 0.375
Se: 0.750 0.347 0.875
Se: 0.847 0.750 0.625
I: 0.000 0.000 0.500
I: 0.000 0.500 0.750
I: 0.500 0.000 0.250
I: 0.500 0.500 0.000